(1)
# PBE-GGA Be2CoP, relaxed
# mass density	4.6	g/cm³
# uncorrected energy	-20.51	eV/f.u.
# DOS at the Fermi energy	1.00	states/eV per cell
# crystal system	orthorhombic
data_Be2CoP
_chemical_formula_sum 'Be2 Co1 P1'
_symmetry_space_group_name_H-M 'P m m m'
_symmetry_Int_Tables_number 47
_symmetry_space_group_name_Hall '-P 2 2'
_cell_length_a 2.573
_cell_length_b 3.604
_cell_length_c 4.185
_cell_angle_alpha 90.00
_cell_angle_beta 90.00
_cell_angle_gamma 90.00
loop_
_atom_site_label
_atom_site_fract_x
_atom_site_fract_y
_atom_site_fract_z
Be1 0.000 0.000 0.237
Co1 0.500 0.500 0.000
P1 0.000 0.500 0.500

---

(2)
# PBE-GGA BeCo2P, relaxed
# energy above the lowest structure with this stoichiometry	0.28	eV per formula unit
# mass density	6.8	g/cm³
# uncorrected energy	-24.82	eV/f.u.
# DOS at the Fermi energy	6.18	states/eV per cell
# crystal system	monoclinic
data_BeCo2P
_chemical_formula_sum 'Be2 Co4 P2'
_symmetry_space_group_name_H-M 'C 1 m 1'
_symmetry_Int_Tables_number 8
_symmetry_space_group_name_Hall 'C -2y'
_cell_length_a 7.992
_cell_length_b 2.624
_cell_length_c 3.824
_cell_angle_alpha 90.00
_cell_angle_beta 104.92
_cell_angle_gamma 90.00
loop_
_atom_site_label
_atom_site_fract_x
_atom_site_fract_y
_atom_site_fract_z
Be1 0.000 0.000 0.000
Co1 0.013 0.500 0.508
Co2 0.241 0.500 0.117
P1 0.252 0.000 0.636

---

(3)
# PBE-GGA Be2CoP, relaxed
# mass density	4.8	g/cm³
# uncorrected energy	-20.18	eV/f.u.
# DOS at the Fermi energy	4.97	states/eV per cell
# crystal system	cubic
data_Be2CoP
_chemical_formula_sum 'Be8 Co4 P4'
_symmetry_space_group_name_H-M 'F -4 3 m'
_symmetry_Int_Tables_number 216
_symmetry_space_group_name_Hall 'F -4 2 3'
_cell_length_a 5.298
_cell_length_b 5.298
_cell_length_c 5.298
_cell_angle_alpha 90.00
_cell_angle_beta 90.00
_cell_angle_gamma 90.00
loop_
_atom_site_label
_atom_site_fract_x
_atom_site_fract_y
_atom_site_fract_z
Be1 0.000 0.000 0.000
Be2 0.250 0.250 0.250
Co1 0.000 0.000 0.500
P1 0.250 0.250 0.750

---

What did the second record say?
# PBE-GGA BeCo2P, relaxed
# energy above the lowest structure with this stoichiometry	0.28	eV per formula unit
# mass density	6.8	g/cm³
# uncorrected energy	-24.82	eV/f.u.
# DOS at the Fermi energy	6.18	states/eV per cell
# crystal system	monoclinic
data_BeCo2P
_chemical_formula_sum 'Be2 Co4 P2'
_symmetry_space_group_name_H-M 'C 1 m 1'
_symmetry_Int_Tables_number 8
_symmetry_space_group_name_Hall 'C -2y'
_cell_length_a 7.992
_cell_length_b 2.624
_cell_length_c 3.824
_cell_angle_alpha 90.00
_cell_angle_beta 104.92
_cell_angle_gamma 90.00
loop_
_atom_site_label
_atom_site_fract_x
_atom_site_fract_y
_atom_site_fract_z
Be1 0.000 0.000 0.000
Co1 0.013 0.500 0.508
Co2 0.241 0.500 0.117
P1 0.252 0.000 0.636